Material: In2NiAu
Method: DFT, GGA-PBEsol
State: optimized geometry

Results
The total DFT energy (no corrections) is -16.50 eV for the cell shown. The crystal system is orthorhombic. The formation energy is -0.46 eV/f.u. The volume comes out at 72.4 Å³ per cell. The value obtained for the energy above the most stable polymorph in this dataset is 0.14 eV/f.u.

Lattice parameters (Å, degrees): 4.1309 5.3901 5.3901 37.12 90.00 90.00
Sites, in units of the cell vectors:
In  0.0000  0.0000  0.0000
In  0.5000  0.3074  0.3074
Ni  0.0000  0.7417  0.7417
Au  0.5000  0.5843  0.5843